No. 1
Entry from the Alexandria database: an optimized crystal structure of CoTcOs (PBE).

Cell: 2.6858 2.6858 6.4335 Å, 90.00 90.00 120.00°
Space group P3m1 (No. 156)
Inequivalent atoms, fractional coordinates:
Co  0.0000  0.0000  0.0000
Tc  0.3333  0.6667  0.6712
Os  0.6667  0.3333  0.3288

- V: 13.40 Å³/atom
- DOS(E_F): 3.07 states/eV/cell
- Energy relative to the lowest polymorph listed for this composition: 0.259 eV per formula unit
- Energy relative to the elements: 14 kJ/mol of atoms
- Total energy: -9.420 eV per atom

---

No. 2
Entry from the Alexandria database: an optimized crystal structure of Co2TcOs (PBE).

Cell: 2.6446 2.6446 25.3492 Å, 90.00 90.00 120.00°
Space group R-3m (No. 166, hexagonal axes)
Inequivalent atoms, fractional coordinates:
Co  0.0000  0.0000  0.2500
Tc  0.0000  0.0000  0.0000
Os  0.0000  0.0000  0.5000

- V: 12.79 Å³/atom
- DOS(E_F): 15.31 states/eV/cell
- Energy relative to the lowest polymorph listed for this composition: 0.558 eV per formula unit
- Energy relative to the elements: 18 kJ/mol of atoms
- Total energy: -8.768 eV per atom

---

The lowest energy relative to the lowest polymorph listed for this composition belongs to which entry? CoTcOs

---

Which value of DOS(E_F) does entry 1 give? 3.07 states/eV/cell